Entry 1:
Computed, not measured: La12Pm7Sm after structural relaxation at the PBE level of DFT.

Cell and atoms, written as POSCAR:
```
La12Pm7Sm
1.0
-5.185 5.008 5.314
3.574 -3.886 7.233
6.341 6.315 0.320
Pm La Sm
7 12 1
Direct
0.936 0.857 0.620
0.857 0.620 0.936
0.500 0.500 0.500
0.620 0.936 0.857
0.380 0.064 0.143
0.064 0.143 0.380
0.143 0.380 0.064
0.143 0.485 0.611
0.141 0.735 0.283
0.735 0.283 0.141
0.857 0.515 0.389
0.485 0.611 0.143
0.515 0.389 0.857
0.265 0.717 0.859
0.859 0.265 0.717
0.717 0.859 0.265
0.611 0.143 0.485
0.283 0.141 0.735
0.389 0.857 0.515
0.000 0.000 0.000
```

For the density of states at the Fermi level, the calculation gives 1.923 states/eV/atom. The formation energy is 0.18 eV/atom.

Entry 2:
Computed, not measured: HgAs2Ru after structural relaxation at the PBE level of DFT.

Cell and atoms, written as POSCAR:
```
HgAs2Ru
1.0
-1.760 -0.522 -3.422
-3.423 -3.235 2.255
-5.264 1.844 2.426
As Ru Hg
2 1 1
Direct
0.000 0.988 0.807
0.000 0.512 0.693
0.500 0.750 0.750
0.500 0.250 0.250
```

For the density of states at the Fermi level, the calculation gives 0.822 states/eV/atom. The formation energy is 0.19 eV/atom.

Entry 3:
Computed, not measured: RbLiTaBr6 after structural relaxation at the PBE level of DFT.

Cell and atoms, written as POSCAR:
```
RbLiTaBr6
1.0
7.002 0.000 0.000
-3.501 6.064 0.000
0.000 0.000 15.339
Br Li Ta Rb
12 2 2 2
Direct
0.620 0.639 0.653
0.019 0.639 0.847
0.380 0.019 0.153
0.620 0.981 0.847
0.639 0.019 0.347
0.380 0.361 0.347
0.639 0.620 0.153
0.361 0.380 0.847
0.361 0.981 0.653
0.019 0.380 0.653
0.981 0.361 0.153
0.981 0.620 0.347
0.333 0.667 0.250
0.667 0.333 0.750
0.333 0.667 0.750
0.667 0.333 0.250
0.000 0.000 0.000
0.000 0.000 0.500
```

The formation energy (no corrections) comes out at -27.30 kcal/mol of atoms. For the density of states at the Fermi level, the calculation gives 0.892 states/eV/atom.